Density functional theory data (GGA-PBE) for a geometry-optimized Cd2AsOs structure.

Cell: 6.6971 6.6971 4.7085 Å, 69.46 69.46 26.06°
Last column: nearest neighbours and their distance in Å.
Element x y z (fractional)
As  0.1737  0.1737  0.3262  2 Os 2.41
Os  0.5192  0.5192  0.4811  2 As 2.41
Cd  0.9902  0.9902  0.0100  4 Os 2.82, 2 Cd 3.02
Cd  0.8170  0.8170  0.6827  2 Os 2.89, 4 Cd 3.02-3.16

- spin magnetization (μB per cell) = 0.0
- DFT formation energy (meV per atom) = 262
- final energy (eV/atom) = -4.1653